No. 1
# Mg5Pa2Zn12 | Alexandria via LeMat-Bulk | PBE | optimized geometry
data_Mg5Pa2Zn12
_symmetry_space_group_name_H-M 'R -3 m'
_symmetry_Int_Tables_number 166
_symmetry_space_group_name_Hall '-R 3 2"'
_cell_length_a 9.1803
_cell_length_b 9.1803
_cell_length_c 13.7768
_cell_angle_alpha 90.00
_cell_angle_beta 90.00
_cell_angle_gamma 120.00
loop_
_atom_site_label
_atom_site_fract_x
_atom_site_fract_y
_atom_site_fract_z
Mg1 0.0000 0.0000 0.1011
Mg2 0.0000 0.5000 0.5000
Pa1 0.0000 0.0000 0.3428
Zn1 0.0000 0.2986 0.0000
Zn2 0.0162 0.5081 0.1463
# ΔH_f (0 K) = -0.052 eV per atom
# Magnetic moment = 0.5 μB/f.u.
# Final energy = -2.28 eV per atom

=====

No. 2
# ZrAl2Pt | Alexandria via LeMat-Bulk | PBE | optimized geometry
data_ZrAl2Pt
_symmetry_space_group_name_H-M 'I -4 m 2'
_symmetry_Int_Tables_number 119
_symmetry_space_group_name_Hall 'I -4 -2'
_cell_length_a 4.043
_cell_length_b 4.043
_cell_length_c 8.363
_cell_angle_alpha 90.00
_cell_angle_beta 90.00
_cell_angle_gamma 90.00
loop_
_atom_site_label
_atom_site_fract_x
_atom_site_fract_y
_atom_site_fract_z
Zr1 0.000 0.000 0.000
Al1 0.000 0.000 0.500
Al2 0.000 0.500 0.250
Pt1 0.000 0.500 0.750
# ΔH_f (0 K) = -0.696 eV per atom
# Magnetic moment = 0.0 μB/f.u.
# Final energy = -6.21 eV per atom